# La2HgAs2, optimized geometry, DFT PBE
data_La2HgAs2
_chemical_formula_sum 'La4 Hg2 As4'
_symmetry_space_group_name_H-M 'P 4/m b m'
_symmetry_Int_Tables_number 127
_symmetry_space_group_name_Hall '-P 4 2ab'
_cell_length_a 8.4430
_cell_length_b 8.4430
_cell_length_c 3.9160
_cell_angle_alpha 90.00
_cell_angle_beta 90.00
_cell_angle_gamma 90.00
loop_
_atom_site_label
_atom_site_fract_x
_atom_site_fract_y
_atom_site_fract_z
_atom_site_occupancy
La1 0.1457 0.3543 0.0000 1
Hg1 0.0000 0.0000 0.0000 1
As1 0.1574 0.6574 0.5000 1
# * DOS at the Fermi energy: 0.24 states/eV per cell
# * ΔH_f (0 K): -5.16 eV per formula unit
# * V: 27.92 Å³ per atom